A geometry-optimized IrWC3 structure. Source: Alexandria, functional PBE.

Lattice parameters (Å, degrees): 3.9236 3.9236 3.9236 90.00 90.00 90.00
Atoms (fractional coordinates):
C1 0.0000 0.5000 0.0000
C2 0.0000 0.0000 0.5000
C3 0.5000 0.0000 0.0000
Ir1 0.0000 0.0000 0.0000
W1 0.5000 0.5000 0.5000

Calculated values
The energy above the lowest structure with this stoichiometry is 210.6 meV per atom. The value obtained for the calculated formation energy is 2.579 eV per atom. The density is 11.33 g/cm³.

=====

A geometry-optimized PmSc2Pt2 structure. Source: Alexandria, functional PBE.

Lattice parameters (Å, degrees): 4.5593 4.5593 6.5275 90.00 90.00 120.00
Atoms (fractional coordinates):
Pm1 0.0000 0.0000 0.0000
Sc1 0.3333 0.6667 0.6430
Sc2 0.6667 0.3333 0.3570
Pt1 0.3333 0.6667 0.2325
Pt2 0.6667 0.3333 0.7675

Calculated values
The energy above the lowest structure with this stoichiometry is 23.1 meV per atom. The value obtained for the calculated formation energy is -0.985 eV per atom. The density is 8.83 g/cm³.

=====

A geometry-optimized Ca3SmAu2 structure. Source: Alexandria, functional PBE.

Lattice parameters (Å, degrees): 4.8788 7.4553 9.4565 90.00 90.00 90.00
Atoms (fractional coordinates):
Ca1 0.0000 0.4792 0.9166
Ca2 0.0000 0.9792 0.0834
Ca3 0.5000 0.6458 0.1772
Ca4 0.5000 0.1458 0.8228
Ca5 0.0000 0.3556 0.3232
Ca6 0.0000 0.8556 0.6768
Sm1 0.5000 0.5171 0.5787
Sm2 0.5000 0.0171 0.4213
Au1 0.5000 0.7363 0.8550
Au2 0.5000 0.2363 0.1450
Au3 0.0000 0.2659 0.6344
Au4 0.0000 0.7659 0.3656

Calculated values
The value obtained for the calculated formation energy is -0.572 eV per atom. The density is 6.42 g/cm³.

=====

A geometry-optimized CaMg3Hg structure. Source: Alexandria, functional PBE.

Lattice parameters (Å, degrees): 5.8065 6.1266 7.8179 90.00 112.74 90.00
Atoms (fractional coordinates):
Ca1 0.7359 0.9476 0.9086
Ca2 0.2985 0.4476 0.6520
Mg1 0.8666 0.4476 0.1844
Mg2 0.1677 0.9476 0.3762
Mg3 0.7194 0.1942 0.4757
Mg4 0.7194 0.7010 0.4757
Mg5 0.3149 0.6942 0.0849
Mg6 0.3149 0.2010 0.0849
Hg1 0.8795 0.4476 0.8232
Hg2 0.1548 0.9476 0.7374

Calculated values
The energy above the lowest structure with this stoichiometry is 0.0 meV per atom. The value obtained for the calculated formation energy is -0.204 eV per atom. The density is 4.06 g/cm³.

=====

A geometry-optimized SnH2Ir2 structure. Source: Alexandria, functional PBE.

Lattice parameters (Å, degrees): 3.2694 3.2694 5.7848 73.59 73.59 90.00
Atoms (fractional coordinates):
H1 0.7500 0.2500 0.5000
H2 0.2500 0.7500 0.5000
Ir1 0.3566 0.3566 0.2868
Ir2 0.6434 0.6434 0.7132
Sn1 0.0000 0.0000 0.0000

Calculated values
The energy above the lowest structure with this stoichiometry is 0.0 meV per atom. The density is 14.80 g/cm³.

=====

A geometry-optimized BaCaTiF7 structure. Source: Alexandria, functional PBE.

Lattice parameters (Å, degrees): 11.0522 5.7650 9.5580 88.29 90.00 90.00
Each line ends with the local moment (μB).
Atoms (fractional coordinates):
Ba1 0.3457 0.7209 0.5293  0.00
Ba2 0.8457 0.2791 0.9707  0.00
Ba3 0.6543 0.2791 0.4707  0.00
Ba4 0.1543 0.7209 0.0293  0.00
Ca1 0.4327 0.2889 0.8630  0.00
Ca2 0.9327 0.7111 0.6370  0.00
Ca3 0.0673 0.2889 0.3630  0.00
Ca4 0.5673 0.7111 0.1370  0.00
Ti1 0.6577 0.8037 0.7938  0.91
Ti2 0.3423 0.1963 0.2062  0.91
Ti3 0.8423 0.8037 0.2938  0.91
Ti4 0.1577 0.1963 0.7062  0.91
F1 0.3899 0.9060 0.1026  0.01
F2 0.9874 0.6498 0.3900  0.01
F3 0.7448 0.5168 0.7270  0.01
F4 0.2552 0.4832 0.2730  0.01
F5 0.4374 0.0944 0.3628  -0.01
F6 0.7667 0.7172 0.4731  -0.01
F7 0.8052 0.9853 0.7297  0.01
F8 0.9374 0.9056 0.1372  -0.01
F9 0.5126 0.6498 0.8900  0.01
F10 0.2448 0.4832 0.7730  0.01
F11 0.1101 0.9060 0.6026  0.01
F12 0.6101 0.0940 0.8974  0.01
F13 0.3052 0.0147 0.7703  0.01
F14 0.9827 0.6035 0.8562  0.00
F15 0.5626 0.9056 0.6372  -0.01
F16 0.0626 0.0944 0.8628  -0.01
F17 0.1948 0.0147 0.2703  0.01
F18 0.8899 0.0940 0.3974  0.01
F19 0.4827 0.3965 0.6438  0.00
F20 0.0126 0.3502 0.6100  0.01
F21 0.0173 0.3965 0.1438  0.00
F22 0.6948 0.9853 0.2297  0.01
F23 0.5173 0.6035 0.3562  0.00
F24 0.2667 0.2828 0.0269  -0.01
F25 0.2333 0.2828 0.5269  -0.01
F26 0.7333 0.7172 0.9731  -0.01
F27 0.4874 0.3502 0.1100  0.01
F28 0.7552 0.5168 0.2270  0.01

Calculated values
For the total energy, the calculation gives -6.15 eV/atom. The density is 3.91 g/cm³.

=====

A geometry-optimized CaZn2Mo2 structure. Source: Alexandria, functional PBE.

Lattice parameters (Å, degrees): 3.7725 3.7725 7.0504 74.48 74.48 90.00
Atoms (fractional coordinates):
Mo1 0.7500 0.2500 0.5000
Mo2 0.2500 0.7500 0.5000
Ca1 0.0000 0.0000 0.0000
Zn1 0.4014 0.4014 0.1971
Zn2 0.5986 0.5986 0.8029

Calculated values
The energy above the lowest structure with this stoichiometry is 0.0 meV per atom. The value obtained for the calculated formation energy is 0.198 eV per atom. The density is 6.49 g/cm³.

=====

A geometry-optimized Hf8Ga3Pt2 structure. Source: Alexandria, functional PBE.

Lattice parameters (Å, degrees): 5.5636 6.9695 8.4542 114.34 103.76 90.00
Atoms (fractional coordinates):
Hf1 0.0766 0.6895 0.3790
Hf2 0.9234 0.3105 0.6210
Hf3 0.9571 0.0994 0.1989
Hf4 0.0429 0.9006 0.8011
Hf5 0.5151 0.6290 0.7314
Hf6 0.5151 0.1024 0.7314
Hf7 0.4849 0.8976 0.2686
Hf8 0.4849 0.3710 0.2686
Ga1 0.5000 0.0000 0.0000
Ga2 0.0000 0.3242 0.0000
Ga3 0.0000 0.6758 0.0000
Pt1 0.3271 0.2467 0.4934
Pt2 0.6729 0.7533 0.5065

Calculated values
The value obtained for the calculated formation energy is -0.256 eV per atom. The density is 11.68 g/cm³.

=====

A geometry-optimized CoMoH structure. Source: Alexandria, functional PBE.

Lattice parameters (Å, degrees): 2.8032 2.8032 4.4544 108.34 108.34 90.00
Atoms (fractional coordinates):
H1 0.8766 0.8766 0.7532
Mo1 0.3369 0.3369 0.6739
Co1 0.6365 0.6365 0.2730

Calculated values
The energy above the lowest structure with this stoichiometry is 315.3 meV per atom. The density is 8.26 g/cm³.

=====

A geometry-optimized SrZnCd11 structure. Source: Alexandria, functional PBE.

Lattice parameters (Å, degrees): 5.9119 7.6956 7.7052 81.77 67.44 68.09
Atoms (fractional coordinates):
Sr1 0.0000 0.0000 0.0000
Zn1 0.5000 0.5000 0.0000
Cd1 0.2936 0.2206 0.2128
Cd2 0.7064 0.7794 0.7872
Cd3 0.4935 0.7794 0.2128
Cd4 0.5065 0.2206 0.7872
Cd5 0.3575 0.6430 0.6511
Cd6 0.6425 0.3570 0.3489
Cd7 0.9914 0.3570 0.6511
Cd8 0.0086 0.6430 0.3489
Cd9 0.0000 0.5000 0.0000
Cd10 0.5000 0.0000 0.5000
Cd11 0.0000 0.0000 0.5000

Calculated values
The value obtained for the calculated formation energy is -0.111 eV per atom. The density is 7.68 g/cm³.

=====

A geometry-optimized PmFe2PC structure. Source: Alexandria, functional PBE.

Lattice parameters (Å, degrees): 3.7616 5.5348 6.7529 90.00 90.00 109.87
Atoms (fractional coordinates):
Pm1 0.4497 0.8993 0.7500
Pm2 0.5503 0.1007 0.2500
Fe1 0.1675 0.3350 0.9422
Fe2 0.8325 0.6650 0.0578
Fe3 0.1675 0.3350 0.5578
Fe4 0.8325 0.6650 0.4422
P1 0.7287 0.4575 0.7500
P2 0.2713 0.5425 0.2500
C1 0.0000 0.0000 0.0000
C2 0.0000 0.0000 0.5000

Calculated values
The value obtained for the calculated formation energy is -0.613 eV per atom. The density is 7.53 g/cm³.

=====

A geometry-optimized Te3IF structure. Source: Alexandria, functional PBE.

Lattice parameters (Å, degrees): 5.7780 5.7780 5.7780 90.00 90.00 90.00
Each line ends with the local moment (μB).
Atoms (fractional coordinates):
I1 0.0000 0.0000 0.0000  0.00
Te1 0.0000 0.5000 0.0000  0.13
Te2 0.0000 0.0000 0.5000  0.19
Te3 0.5000 0.0000 0.0000  0.10
F1 0.5000 0.5000 0.5000  0.32

Calculated values
The energy above the lowest structure with this stoichiometry is 487.9 meV per atom. The density is 4.55 g/cm³.

=====

A geometry-optimized NaPa2RhO6 structure. Source: Alexandria, functional PBE.

Lattice parameters (Å, degrees): 5.8061 5.1043 5.1043 90.00 90.00 90.00
Each line ends with the local moment (μB).
Atoms (fractional coordinates):
Na1 0.5372 0.5000 0.5000  0.00
Pa1 0.9813 0.5000 0.0000  0.02
Pa2 0.9813 0.0000 0.5000  0.02
Rh1 0.4947 0.0000 0.0000  1.59
O1 0.7866 0.2454 0.2454  0.03
O2 0.7866 0.2454 0.7546  0.03
O3 0.1462 0.5000 0.5000  0.01
O4 0.1597 0.0000 0.0000  0.15
O5 0.7866 0.7546 0.7546  0.03
O6 0.7866 0.7546 0.2454  0.03

Calculated values
For the total energy, the calculation gives -7.93 eV/atom. The density is 7.51 g/cm³.

=====

A geometry-optimized BaTc2NiSb structure. Source: Alexandria, functional PBE.

Lattice parameters (Å, degrees): 5.0786 4.7978 5.0786 90.00 90.00 90.00
Each line ends with the local moment (μB).
Atoms (fractional coordinates):
Sb1 0.0000 0.0000 0.0000  -0.05
Ni1 0.0000 0.5000 0.0000  0.18
Ba1 0.5000 0.5000 0.5000  -0.01
Tc1 0.0000 0.0000 0.5000  1.52
Tc2 0.5000 0.0000 0.0000  1.25

Calculated values
For the total energy, the calculation gives -5.54 eV/atom. The density is 6.89 g/cm³.

=====

A geometry-optimized Pm2ZrCl structure. Source: Alexandria, functional PBE.

Lattice parameters (Å, degrees): 3.5624 3.5624 10.1045 79.85 79.85 60.00
Atoms (fractional coordinates):
Cl1 0.0000 0.0000 0.0000
Zr1 0.5000 0.5000 0.5000
Pm1 0.7442 0.7442 0.7675
Pm2 0.2558 0.2558 0.2325

Calculated values
For the total energy, the calculation gives -5.56 eV/atom. The density is 6.36 g/cm³.

=====

A geometry-optimized Ac4Pr3Nd2 structure. Source: Alexandria, functional PBE.

Lattice parameters (Å, degrees): 3.8374 3.8374 28.5198 90.00 90.00 120.00
Atoms (fractional coordinates):
Ac1 0.0000 0.0000 0.5477
Ac2 0.6667 0.3333 0.4306
Ac3 0.6667 0.3333 0.2107
Ac4 0.0000 0.0000 0.7685
Pr1 0.0000 0.0000 0.9829
Pr2 0.0000 0.0000 0.3188
Pr3 0.6667 0.3333 0.6572
Nd1 0.6667 0.3333 0.0838
Nd2 0.6667 0.3333 0.8769

Calculated values
The energy above the lowest structure with this stoichiometry is 52.0 meV per atom. The value obtained for the calculated formation energy is 0.083 eV per atom. The density is 7.39 g/cm³.

=====

A geometry-optimized Hf2ZrTi structure. Source: Alexandria, functional PBE.

Lattice parameters (Å, degrees): 3.1161 3.1161 8.7896 90.00 90.00 90.00
Atoms (fractional coordinates):
Hf1 0.0000 0.0000 0.7657
Hf2 0.0000 0.0000 0.2343
Zr1 0.5000 0.5000 0.5000
Ti1 0.5000 0.5000 0.0000

Calculated values
The energy above the lowest structure with this stoichiometry is 6.4 meV per atom. The value obtained for the calculated formation energy is 0.080 eV per atom. The density is 9.65 g/cm³.

=====

A geometry-optimized K2HfCl2 structure. Source: Alexandria, functional PBE.

Lattice parameters (Å, degrees): 9.4043 9.4043 3.4475 90.00 90.00 90.00
Each line ends with the local moment (μB).
Atoms (fractional coordinates):
K1 0.3616 0.8616 0.0000  0.02
K2 0.8616 0.6384 0.0000  0.02
K3 0.6384 0.1384 0.0000  0.02
K4 0.1384 0.3616 0.0000  0.02
Hf1 0.0000 0.0000 0.0000  1.39
Hf2 0.5000 0.5000 0.0000  1.39
Cl1 0.1531 0.6531 0.5000  0.01
Cl2 0.6531 0.8469 0.5000  0.02
Cl3 0.8469 0.3469 0.5000  0.01
Cl4 0.3469 0.1531 0.5000  0.02

Calculated values
The energy above the lowest structure with this stoichiometry is 0.0 meV per atom. The density is 3.57 g/cm³.

=====

A geometry-optimized K3Y2ErSe6 structure. Source: Alexandria, functional PBE.

Lattice parameters (Å, degrees): 7.2827 7.2827 8.0565 98.66 98.66 120.00
Atoms (fractional coordinates):
K1 0.1670 0.8330 0.5000
K2 0.8330 0.1670 0.5000
K3 0.5000 0.5000 0.5000
Y1 0.3334 0.6666 0.0000
Y2 0.6666 0.3334 0.0000
Er1 0.0000 0.0000 0.0000
Se1 0.9318 0.6008 0.7952
Se2 0.7373 0.7373 0.2048
Se3 0.0682 0.3992 0.2048
Se4 0.6008 0.9318 0.7952
Se5 0.2627 0.2627 0.7952
Se6 0.3992 0.0682 0.2048

Calculated values
For the total energy, the calculation gives -5.24 eV/atom. The density is 4.41 g/cm³.

=====

A geometry-optimized MnCrCdSe4 structure. Source: Alexandria, functional PBE.

Lattice parameters (Å, degrees): 7.6732 7.7454 7.7454 59.78 60.31 60.31
Each line ends with the local moment (μB).
Atoms (fractional coordinates):
Mn1 0.5000 0.0000 0.5000  3.79
Mn2 0.0000 0.0000 0.5000  3.79
Cr1 0.0000 0.0000 0.0000  3.01
Cr2 0.0000 0.5000 0.5000  3.01
Cd1 0.6285 0.6215 0.1215  0.04
Cd2 0.3715 0.3785 0.8785  0.04
Se1 0.7689 0.7596 0.7026  -0.08
Se2 0.2311 0.7974 0.7404  -0.08
Se3 0.7689 0.2026 0.2596  -0.08
Se4 0.2311 0.2404 0.2974  -0.08
Se5 0.2063 0.7633 0.2633  -0.09
Se6 0.7671 0.7633 0.2633  -0.09
Se7 0.2329 0.2367 0.7367  -0.09
Se8 0.7937 0.2367 0.7367  -0.09

Calculated values
For the total energy, the calculation gives -5.32 eV/atom. The density is 5.44 g/cm³.

=====

A geometry-optimized K4WAu structure. Source: Alexandria, functional PBE.

Lattice parameters (Å, degrees): 6.9744 6.9744 6.9744 60.00 60.00 60.00
Each line ends with the local moment (μB).
Atoms (fractional coordinates):
K1 0.8757 0.3748 0.3748  0.00
K2 0.3748 0.3748 0.8757  0.00
K3 0.3748 0.8757 0.3748  0.00
K4 0.3748 0.3748 0.3748  0.00
W1 0.7500 0.7500 0.7500  3.33
Au1 0.0000 0.0000 0.0000  0.01

Calculated values
The value obtained for the calculated formation energy is 1.243 eV per atom. The density is 3.72 g/cm³.

=====

A geometry-optimized Er2SiS4 structure. Source: Alexandria, functional PBE.

Lattice parameters (Å, degrees): 6.0417 6.0417 7.2092 114.77 114.77 90.00
Atoms (fractional coordinates):
Er1 0.7500 0.2500 0.5000
Er2 0.2500 0.7500 0.5000
Si1 0.5000 0.5000 0.0000
S1 0.8594 0.3869 0.2463
S2 0.3869 0.8594 0.2463
S3 0.6131 0.6131 0.7537
S4 0.1406 0.1406 0.7537

Calculated values
For the total energy, the calculation gives -5.56 eV/atom. The density is 3.85 g/cm³.

=====

A geometry-optimized MgZn2Cl structure. Source: Alexandria, functional PBE.

Lattice parameters (Å, degrees): 5.6235 5.6235 5.6235 145.59 117.66 73.19
Atoms (fractional coordinates):
Cl1 0.4567 0.4567 0.0000
Mg1 0.2564 0.7564 0.5000
Zn1 0.0056 0.0056 0.0000
Zn2 0.7813 0.2813 0.5000

Calculated values
The energy above the lowest structure with this stoichiometry is 162.9 meV per atom. The density is 3.62 g/cm³.